No. 1
# GdNb5Ag2O15 | Alexandria | meta-GGA SCAN | single point on PBEsol structure
# - ρ (g/cm³) = 5.79
# - VASP energy (eV/cell) = -875.1
# - total moment (μB per cell) = 13.842
# - formation energy (no corrections) (eV per atom) = -2.473
# - crystal system = tetragonal
data_GdNb5Ag2O15
_chemical_formula_sum 'Gd2 Nb10 Ag4 O30'
_symmetry_space_group_name_H-M 'P 4/m b m'
_symmetry_Int_Tables_number 127
_symmetry_space_group_name_Hall '-P 4 2ab'
_cell_length_a 12.595
_cell_length_b 12.595
_cell_length_c 3.893
_cell_angle_alpha 90.00
_cell_angle_beta 90.00
_cell_angle_gamma 90.00
loop_
_atom_site_label
_atom_site_type_symbol
_atom_site_fract_x
_atom_site_fract_y
_atom_site_fract_z
_atom_site_occupancy
Gd1 Gd 0.000 0.000 0.000 1
Nb1 Nb 0.000 0.500 0.500 1
Nb2 Nb 0.078 0.212 0.500 1
Ag1 Ag 0.186 0.686 0.000 1
O1 O 0.000 0.500 0.000 1
O2 O 0.001 0.341 0.500 1
O3 O 0.054 0.869 0.500 1
O4 O 0.087 0.184 0.000 1
O5 O 0.227 0.273 0.500 1

=====

No. 2
# Mg2InAs | Alexandria | meta-GGA SCAN | single point on PBEsol structure
# - ρ (g/cm³) = 4.54
# - VASP energy (eV/cell) = -193.1
# - total moment (μB per cell) = 0.002
# - ΔE to the lowest computed polymorph (meV/atom) = 0.0
# - ΔH_f (0 K) (eV per atom) = -0.207
# - crystal system = trigonal
data_Mg2InAs
_chemical_formula_sum 'Mg6 In3 As3'
_symmetry_space_group_name_H-M 'R -3 m'
_symmetry_Int_Tables_number 166
_symmetry_space_group_name_Hall '-R 3 2"'
_cell_length_a 3.4758
_cell_length_b 3.4758
_cell_length_c 24.9692
_cell_angle_alpha 90.00
_cell_angle_beta 90.00
_cell_angle_gamma 120.00
loop_
_atom_site_label
_atom_site_type_symbol
_atom_site_fract_x
_atom_site_fract_y
_atom_site_fract_z
_atom_site_occupancy
Mg1 Mg 0.0000 0.0000 0.2399 1
In1 In 0.0000 0.0000 0.0000 1
As1 As 0.0000 0.0000 0.5000 1

=====

No. 3
# La2AgBr | Alexandria | meta-GGA SCAN | single point on PBEsol structure
# - ρ (g/cm³) = 6.75
# - VASP energy (eV/cell) = -140.7
# - total moment (μB per cell) = 0.000
# - ΔE to the lowest computed polymorph (meV/atom) = 0.0
# - formation energy (no corrections) (eV per atom) = -0.906
# - crystal system = orthorhombic
data_La2AgBr
_chemical_formula_sum 'La2 Ag1 Br1'
_symmetry_space_group_name_H-M 'P m m 2'
_symmetry_Int_Tables_number 25
_cell_length_a 4.283
_cell_length_b 6.242
_cell_length_c 4.286
_cell_angle_alpha 90.00
_cell_angle_beta 90.00
_cell_angle_gamma 90.00
loop_
_symmetry_equiv_pos_as_xyz
'x,y,z'
'-x,-y,z'
'-x,y,z'
'x,-y,z'
loop_
_atom_site_label
_atom_site_type_symbol
_atom_site_fract_x
_atom_site_fract_y
_atom_site_fract_z
_atom_site_occupancy
La1 La 0.000 0.000 0.000 1
La2 La 0.500 0.500 0.498 1
Ag1 Ag 0.500 0.000 0.500 1
Br1 Br 0.000 0.500 0.998 1

=====

No. 4
# WSe3O | Alexandria | meta-GGA SCAN | single point on PBEsol structure
# - ρ (g/cm³) = 6.45
# - VASP energy (eV/cell) = -132.4
# - total moment (μB per cell) = 1.891
# - formation energy (no corrections) (eV per atom) = 0.742
# - crystal system = cubic
data_WSe3O
_chemical_formula_sum 'W1 Se3 O1'
_symmetry_space_group_name_H-M 'P m -3 m'
_symmetry_Int_Tables_number 221
_symmetry_space_group_name_Hall '-P 4 2 3'
_cell_length_a 4.827
_cell_length_b 4.827
_cell_length_c 4.827
_cell_angle_alpha 90.00
_cell_angle_beta 90.00
_cell_angle_gamma 90.00
loop_
_atom_site_label
_atom_site_type_symbol
_atom_site_fract_x
_atom_site_fract_y
_atom_site_fract_z
_atom_site_occupancy
W1 W 0.000 0.000 0.000 1
Se1 Se 0.000 0.000 0.500 1
O1 O 0.500 0.500 0.500 1

=====

No. 5
# Mg3Hg | Alexandria | meta-GGA SCAN | single point on PBEsol structure
# - ρ (g/cm³) = 5.50
# - VASP energy (eV/cell) = -84.1
# - total moment (μB per cell) = 0.000
# - ΔH_f (0 K) (eV per atom) = -0.244
# - crystal system = cubic
data_Mg3Hg
_chemical_formula_sum 'Mg3 Hg1'
_symmetry_space_group_name_H-M 'P m -3 m'
_symmetry_Int_Tables_number 221
_symmetry_space_group_name_Hall '-P 4 2 3'
_cell_length_a 4.354
_cell_length_b 4.354
_cell_length_c 4.354
_cell_angle_alpha 90.00
_cell_angle_beta 90.00
_cell_angle_gamma 90.00
loop_
_atom_site_label
_atom_site_type_symbol
_atom_site_fract_x
_atom_site_fract_y
_atom_site_fract_z
_atom_site_occupancy
Mg1 Mg 0.000 0.000 0.500 1
Hg1 Hg 0.500 0.500 0.500 1

=====

No. 6
# Y2Si5Ir3 | Alexandria | meta-GGA SCAN | single point on PBEsol structure
# - ρ (g/cm³) = 9.13
# - VASP energy (eV/cell) = -1321.0
# - total moment (μB per cell) = 0.000
# - formation energy (no corrections) (eV per atom) = -1.119
# - crystal system = orthorhombic
data_Y2Si5Ir3
_chemical_formula_sum 'Y8 Si20 Ir12'
_symmetry_space_group_name_H-M 'I b a m'
_symmetry_Int_Tables_number 72
_symmetry_space_group_name_Hall '-I 2 2c'
_cell_length_a 9.915
_cell_length_b 11.364
_cell_length_c 5.775
_cell_angle_alpha 90.00
_cell_angle_beta 90.00
_cell_angle_gamma 90.00
loop_
_atom_site_label
_atom_site_type_symbol
_atom_site_fract_x
_atom_site_fract_y
_atom_site_fract_z
_atom_site_occupancy
Y1 Y 0.229 0.131 0.000 1
Si1 Si 0.000 0.000 0.250 1
Si2 Si 0.000 0.275 0.250 1
Si3 Si 0.156 0.394 0.000 1
Ir1 Ir 0.000 0.500 0.250 1
Ir2 Ir 0.114 0.140 0.500 1